Here is an optimized crystal structure of CdNiO from Alexandria. Energies are from GGA+U.

Lattice parameters (Å, degrees): 5.5292 5.5292 5.5292 32.15 32.15 32.15
Element x y z (fractional)
Cd (0.0000, 0.0000, 0.0000)
Ni (0.1860, 0.1860, 0.1860)
O (0.7936, 0.7936, 0.7936)

Values from the calculation:
* electronic total energy: -9.463 eV per cell
* V: 14.183 A^3/atom